(1)
Material: KNa2LiZn
Method: DFT, PBE-GGA
State: relaxed

a b c (Å): 5.8663 5.8663 5.3019
angles (deg): 90.00 90.00 90.00
Closest atoms and distances in Å follow each position.
Positions (direct):
K 0.0000 0.0000 0.0000  8 Na 3.95, 4 Li 4.15
Na 0.0000 0.5000 0.5000  2 Zn 2.93
Na 0.5000 0.0000 0.5000  2 Zn 2.93
Li 0.5000 0.5000 0.0000  2 Zn 2.65
Zn 0.5000 0.5000 0.5000  2 Li 2.65, 4 Na 2.93

Values from the calculation:
Mass density   1.4 Mg/m³
Total magnetization   0.00 μB per cell
Space group   P4/mmm, No. 123
V   182.46 Å³/cell
ΔE_f   0.11 eV per atom

***

(2)
Material: K2NaLiZr
Method: DFT, PBE-GGA
State: relaxed

a b c (Å): 6.7819 6.7819 6.2675
angles (deg): 90.00 90.00 90.00
Closest atoms and distances in Å follow each position.
Positions (direct):
K 0.0000 0.5000 0.0000  2 Zr 3.39
K 0.5000 0.0000 0.0000  2 Zr 3.39
Na 0.0000 0.0000 0.5000  2 Zr 3.13
Li 0.5000 0.5000 0.5000  8 K 4.62, 4 Na 4.80
Zr 0.0000 0.0000 0.0000  2 Na 3.13, 4 K 3.39

Values from the calculation:
Mass density   1.1 Mg/m³
Total magnetization   4.09 μB per cell
Space group   P4/mmm, No. 123
V   288.27 Å³/cell
ΔE_f   1.11 eV per atom

***

(3)
Material: KLiNb3
Method: DFT, PBE-GGA
State: relaxed

a b c (Å): 4.7378 4.7378 4.7378
angles (deg): 90.00 90.00 90.00
Closest atoms and distances in Å follow each position.
Positions (direct):
K 0.0000 0.0000 0.0000  12 Nb 3.35
Li 0.5000 0.5000 0.5000  6 Nb 2.37
Nb 0.0000 0.5000 0.5000  2 Li 2.37
Nb 0.5000 0.0000 0.5000  2 Li 2.37
Nb 0.5000 0.5000 0.0000  2 Li 2.37

Values from the calculation:
Mass density   5.1 Mg/m³
Total magnetization   0.00 μB per cell
Space group   Pm-3m, No. 221
V   106.35 Å³/cell
Energy above the lowest structure with this stoichiometry   0.000 eV per atom
ΔE_f   1.73 eV per atom

***

(4)
Material: KLiNb3
Method: DFT, PBE-GGA
State: relaxed

a b c (Å): 4.6881 4.6881 4.6881
angles (deg): 90.00 90.00 90.00
Closest atoms and distances in Å follow each position.
Positions (direct):
K 0.0000 0.0000 0.0000  6 Nb 2.34
Li 0.5000 0.5000 0.5000  12 Nb 3.31
Nb 0.0000 0.0000 0.5000  2 K 2.34
Nb 0.0000 0.5000 0.0000  2 K 2.34
Nb 0.5000 0.0000 0.0000  2 K 2.34

Values from the calculation:
Mass density   5.2 Mg/m³
Total magnetization   0.00 μB per cell
Space group   Pm-3m, No. 221
V   103.03 Å³/cell
Energy above the lowest structure with this stoichiometry   0.883 eV per atom
ΔE_f   2.62 eV per atom

***

(5)
Material: K2LiNb
Method: DFT, PBE-GGA
State: relaxed

a b c (Å): 6.0742 6.0742 6.0742
angles (deg): 60.00 60.00 60.00
Closest atoms and distances in Å follow each position.
Positions (direct):
K 0.2500 0.2500 0.2500  4 Nb 3.72, 4 Li 3.72
K 0.7500 0.7500 0.7500  4 Nb 3.72, 4 Li 3.72
Li 0.0000 0.0000 0.0000  8 K 3.72
Nb 0.5000 0.5000 0.5000  8 K 3.72

Values from the calculation:
Mass density   1.9 Mg/m³
Total magnetization   4.90 μB per cell
Space group   Fm-3m, No. 225
V   158.47 Å³/cell
Energy above the lowest structure with this stoichiometry   0.000 eV per atom
ΔE_f   1.19 eV per atom

***

(6)
Material: K2LiNb
Method: DFT, PBE-GGA
State: relaxed

a b c (Å): 7.5864 7.5864 7.5864
angles (deg): 101.02 101.02 128.15
Closest atoms and distances in Å follow each position.
Positions (direct):
K 0.1014 0.6250 0.9764  2 K 3.35, 2 Li 3.36, 2 Nb 3.67
K 0.3750 0.3514 0.4764  2 K 3.35, 2 Li 3.36, 2 Nb 3.67
K 0.6486 0.1250 0.0236  2 K 3.35, 2 Li 3.36, 2 Nb 3.67
K 0.8750 0.8986 0.5236  2 K 3.35, 2 Li 3.36, 2 Nb 3.67
Li 0.0000 0.0000 0.0000  2 Nb 3.32, 4 K 3.36
Li 0.7500 0.2500 0.5000  2 Nb 3.32, 4 K 3.36
Nb 0.2500 0.7500 0.5000  2 Li 3.32, 4 K 3.67
Nb 0.5000 0.5000 0.0000  2 Li 3.32, 4 K 3.67

Values from the calculation:
Mass density   1.9 Mg/m³
Total magnetization   9.38 μB per cell
Space group   I-42d, No. 122
V   308.80 Å³/cell
Energy above the lowest structure with this stoichiometry   0.052 eV per atom
ΔE_f   1.25 eV per atom

***

(7)
Material: KLi4NbO5
Method: DFT, PBE-GGA
State: relaxed

a b c (Å): 5.8397 6.0030 8.4193
angles (deg): 81.38 79.48 60.90
Closest atoms and distances in Å follow each position.
Positions (direct):
K 0.1528 0.2293 0.4218  2 Li 2.84-3.01, 7 O 2.87-3.08
K 0.8472 0.7707 0.5782  2 Li 2.84-3.01, 7 O 2.87-3.08
Li 0.2057 0.3826 0.9171  4 O 1.96-2.02
Li 0.2977 0.6085 0.0980  4 O 1.96-1.99
Li 0.3395 0.9994 0.1211  5 O 2.00-2.17
Li 0.4510 0.6630 0.3820  4 O 1.92-2.04
Li 0.5490 0.3370 0.6180  4 O 1.92-2.04
Li 0.6605 0.0006 0.8789  5 O 2.00-2.17
Li 0.7023 0.3915 0.9020  4 O 1.96-1.99
Li 0.7943 0.6174 0.0829  4 O 1.96-2.02
Nb 0.2103 0.9296 0.7974  5 O 1.89-2.06
Nb 0.7897 0.0704 0.2026  5 O 1.89-2.06
O 0.0208 0.7576 0.9556  4 Li 1.96-2.05, 1 Nb 2.06
O 0.1359 0.8345 0.2762  3 Li 1.93-2.07, 1 Nb 1.97
O 0.3421 0.1779 0.7289  2 Li 1.92-1.96, 1 Nb 1.96
O 0.3658 0.7133 0.6246  1 Nb 1.89, 2 Li 1.98-2.04
O 0.4983 0.2445 0.0541  5 Li 1.97-2.06, 1 Nb 2.05
O 0.5017 0.7555 0.9459  5 Li 1.97-2.06, 1 Nb 2.05
O 0.6342 0.2867 0.3754  1 Nb 1.89, 2 Li 1.98-2.04
O 0.6579 0.8221 0.2711  2 Li 1.92-1.96, 1 Nb 1.96
O 0.8641 0.1655 0.7238  3 Li 1.93-2.07, 1 Nb 1.97
O 0.9792 0.2424 0.0444  4 Li 1.96-2.05, 1 Nb 2.06

Values from the calculation:
Mass density   3.1 Mg/m³
Total magnetization   0.00 μB per cell
ΔE_f (raw)   -210.9 kJ per mole of atoms
Space group   P-1, No. 2
V   252.91 Å³/cell

***

(8)
Material: KLi3Nb4O12
Method: DFT, PBE-GGA
State: relaxed

a b c (Å): 6.6906 6.6906 6.6906
angles (deg): 109.47 109.47 109.47
Closest atoms and distances in Å follow each position.
Positions (direct):
K 0.0000 0.0000 0.0000  12 O 2.76
Li 0.0000 0.5000 0.5000  4 O 2.14
Li 0.5000 0.0000 0.5000  4 O 2.14
Li 0.5000 0.5000 0.0000  4 O 2.14
Nb 0.0000 0.0000 0.5000  6 O 2.02
Nb 0.0000 0.5000 0.0000  6 O 2.02
Nb 0.5000 0.0000 0.0000  6 O 2.02
Nb 0.5000 0.5000 0.5000  6 O 2.02
O 0.1074 0.3002 0.8073  2 Nb 2.02, 1 Li 2.14
O 0.1927 0.4929 0.3002  2 Nb 2.02, 1 Li 2.14
O 0.1927 0.8926 0.6998  2 Nb 2.02, 1 Li 2.14
O 0.3002 0.1927 0.4929  2 Nb 2.02, 1 Li 2.14
O 0.3002 0.8073 0.1074  2 Nb 2.02, 1 Li 2.14
O 0.4929 0.3002 0.1927  2 Nb 2.02, 1 Li 2.14
O 0.5071 0.6998 0.8073  2 Nb 2.02, 1 Li 2.14
O 0.6998 0.1927 0.8926  2 Nb 2.02, 1 Li 2.14
O 0.6998 0.8073 0.5071  2 Nb 2.02, 1 Li 2.14
O 0.8073 0.1074 0.3002  2 Nb 2.02, 1 Li 2.14
O 0.8073 0.5071 0.6998  2 Nb 2.02, 1 Li 2.14
O 0.8926 0.6998 0.1927  2 Nb 2.02, 1 Li 2.14

Values from the calculation:
Mass density   4.5 Mg/m³
Total magnetization   0.00 μB per cell
ΔE_f (raw)   -234.5 kJ per mole of atoms
Space group   Im-3, No. 204
V   230.55 Å³/cell

***

(9)
Material: KLiNb4O12
Method: DFT, PBE-GGA
State: relaxed

a b c (Å): 5.6648 5.6648 8.0063
angles (deg): 90.00 90.00 90.00
Closest atoms and distances in Å follow each position.
Positions (direct):
K 0.0000 0.0000 0.0000  12 O 2.83-2.87
Li 0.5000 0.5000 0.5000  12 O 2.79-2.83
Nb 0.0000 0.5000 0.2513  6 O 1.99-2.01
Nb 0.0000 0.5000 0.7487  6 O 1.99-2.01
Nb 0.5000 0.0000 0.2513  6 O 1.99-2.01
Nb 0.5000 0.0000 0.7487  6 O 1.99-2.01
O 0.0000 0.5000 0.0000  2 Nb 2.01
O 0.0000 0.5000 0.5000  2 Nb 1.99
O 0.2520 0.2520 0.2552  2 Nb 2.00
O 0.2520 0.2520 0.7448  2 Nb 2.00
O 0.2520 0.7480 0.2552  2 Nb 2.00
O 0.2520 0.7480 0.7448  2 Nb 2.00
O 0.5000 0.0000 0.0000  2 Nb 2.01
O 0.5000 0.0000 0.5000  2 Nb 1.99
O 0.7480 0.2520 0.2552  2 Nb 2.00
O 0.7480 0.2520 0.7448  2 Nb 2.00
O 0.7480 0.7480 0.2552  2 Nb 2.00
O 0.7480 0.7480 0.7448  2 Nb 2.00

Values from the calculation:
Mass density   3.9 Mg/m³
Total magnetization   2.00 μB per cell
ΔE_f (raw)   -212.0 kJ per mole of atoms
Space group   P4/mmm, No. 123
V   256.92 Å³/cell

***

(10)
Material: KLiNbO4
Method: DFT, PBE-GGA
State: relaxed

a b c (Å): 5.8202 5.8202 5.8202
angles (deg): 121.26 121.26 87.83
Closest atoms and distances in Å follow each position.
Positions (direct):
K 0.0000 0.0000 0.0000  4 O 2.81
Li 0.2500 0.7500 0.5000  4 O 1.93
Nb 0.5000 0.5000 0.0000  4 O 1.88
O 0.2520 0.6186 0.1202  1 Nb 1.88, 1 Li 1.93
O 0.3814 0.5016 0.6334  1 Nb 1.88, 1 Li 1.93
O 0.4984 0.1318 0.8798  1 Nb 1.88, 1 Li 1.93
O 0.8682 0.7480 0.3666  1 Nb 1.88, 1 Li 1.93

Values from the calculation:
Mass density   2.5 Mg/m³
Total magnetization   1.01 μB per cell
ΔE_f (raw)   -190.9 kJ per mole of atoms
Space group   I-4, No. 82
V   136.66 Å³/cell

***

(11)
Material: K2LiNb2O7
Method: DFT, PBE-GGA
State: relaxed

a b c (Å): 4.0288 4.0288 11.2750
angles (deg): 99.82 99.82 89.97
Closest atoms and distances in Å follow each position.
Positions (direct):
K 0.1967 0.1967 0.3825  9 O 2.78-3.06
K 0.8033 0.8033 0.6175  9 O 2.78-3.06
Li 0.0000 0.0000 0.0000  12 O 2.75-2.85
Nb 0.3893 0.3893 0.8094  6 O 1.89-2.09
Nb 0.6107 0.6107 0.1906  6 O 1.89-2.09
O 0.0920 0.5918 0.1744  2 Nb 1.98-2.07
O 0.3200 0.3200 0.6369  1 Nb 1.89
O 0.4082 0.9080 0.8256  2 Nb 1.98-2.07
O 0.5000 0.5000 0.0000  2 Nb 2.09
O 0.5918 0.0920 0.1744  2 Nb 1.98-2.07
O 0.6800 0.6800 0.3631  1 Nb 1.89
O 0.9080 0.4082 0.8256  2 Nb 1.98-2.07

Values from the calculation:
Mass density   3.6 Mg/m³
Total magnetization   1.02 μB per cell
ΔE_f (raw)   -206.9 kJ per mole of atoms
Space group   C2/m, No. 12
V   177.60 Å³/cell

***

(12)
Material: K3Li2Nb6P3O24
Method: DFT, PBE-GGA
State: relaxed

a b c (Å): 8.5535 8.5535 8.5535
angles (deg): 103.26 103.26 103.26
Closest atoms and distances in Å follow each position.
Positions (direct):
K 0.0048 0.6070 0.3882  4 O 2.75-2.95
K 0.3882 0.0048 0.6070  4 O 2.75-2.95
K 0.6070 0.3882 0.0048  4 O 2.75-2.95
Li 0.3590 0.3590 0.3590  3 O 2.02
Li 0.6350 0.6350 0.6350  3 O 2.02
Nb 0.0198 0.1515 0.3419  4 O 1.91-2.04
Nb 0.1515 0.3419 0.0198  4 O 1.91-2.04
Nb 0.3419 0.0198 0.1515  4 O 1.91-2.04
Nb 0.6522 0.8425 0.9743  4 O 1.91-2.04
Nb 0.8425 0.9743 0.6522  4 O 1.91-2.04
Nb 0.9743 0.6522 0.8425  4 O 1.91-2.04
P 0.2815 0.4969 0.7139  4 O 1.55-1.56
P 0.4969 0.7139 0.2815  4 O 1.55-1.56
P 0.7139 0.2815 0.4969  4 O 1.55-1.56
O 0.0277 0.4973 0.9671  2 Nb 1.95
O 0.0672 0.3113 0.2029  2 Nb 1.91-2.04
O 0.1396 0.5832 0.7028  1 P 1.55
O 0.1505 0.8439 0.9971  2 Nb 1.91
O 0.2029 0.0672 0.3113  2 Nb 1.91-2.04
O 0.2443 0.3645 0.5413  1 P 1.55
O 0.2929 0.4100 0.8555  1 P 1.56
O 0.3113 0.2029 0.0672  2 Nb 1.91-2.04
O 0.3645 0.5413 0.2443  1 P 1.55
O 0.4100 0.8555 0.2929  1 P 1.56
O 0.4537 0.6296 0.7511  1 P 1.55
O 0.4973 0.9671 0.0277  2 Nb 1.95
O 0.5413 0.2443 0.3645  1 P 1.55
O 0.5832 0.7028 0.1396  1 P 1.55
O 0.6296 0.7511 0.4537  1 P 1.55
O 0.6830 0.9275 0.7917  2 Nb 1.91-2.04
O 0.7028 0.1396 0.5832  1 P 1.55
O 0.7511 0.4537 0.6296  1 P 1.55
O 0.7917 0.6830 0.9275  2 Nb 1.91-2.04
O 0.8439 0.9971 0.1505  2 Nb 1.91
O 0.8555 0.2929 0.4100  1 P 1.56
O 0.9275 0.7917 0.6830  2 Nb 1.91-2.04
O 0.9671 0.0277 0.4973  2 Nb 1.95
O 0.9971 0.1505 0.8439  2 Nb 1.91

Values from the calculation:
Mass density   3.4 Mg/m³
Total magnetization   0.00 μB per cell
ΔE_f (raw)   -234.5 kJ per mole of atoms
Space group   R3, No. 146
V   565.96 Å³/cell

***

> Which formula does entry 9 have?

KLiNb4O12

***

> What is the total magnetization in the first record?

0.00 μB per cell

***

> Which of these has the highest mass density?

number 4